{
  "formula": "PrGdBrN",
  "functional": "PBE",
  "state": "optimized geometry",
  "lattice": [[3.676, 0.000, 0.000], [-1.838, 3.184, 0.000], [0.000, 0.000, 14.514]],
  "species": ["Pr", "Pr", "Gd", "Gd", "Br", "Br", "N", "N"],
  "frac_coords": [[0.000, 0.000, 0.161], [0.000, 0.000, 0.839], [0.667, 0.333, 0.342], [0.667, 0.333, 0.658], [0.000, 0.000, 0.500], [0.667, 0.333, 0.000], [0.333, 0.667, 0.268], [0.333, 0.667, 0.732]],
  "mass_density_g_cm3": 7.67,
  "e_tot_ev_per_atom": -6.292,
  "e_above_lowest_polymorph_mev_per_atom": 0.0,
  "crystal_system": "hexagonal",
  "spacegroup": "No. 187"
}